This record from the Alexandria database describes an optimized crystal structure of Ca2ZrAs3Rh4. The functional is PBE-GGA.

Geometry as CIF:
```
data_Ca2ZrAs3Rh4
_chemical_formula_sum 'Ca2 Zr1 As3 Rh4'
_symmetry_space_group_name_H-M 'P -4 m 2'
_symmetry_Int_Tables_number 115
_symmetry_space_group_name_Hall 'P -4 -2'
_cell_length_a 4.110
_cell_length_b 4.110
_cell_length_c 11.112
_cell_angle_alpha 90.00
_cell_angle_beta 90.00
_cell_angle_gamma 90.00
loop_
_atom_site_label
_atom_site_type_symbol
_atom_site_fract_x
_atom_site_fract_y
_atom_site_fract_z
Ca1 Ca 0.000 0.500 0.232
Zr1 Zr 0.000 0.000 0.500
As1 As 0.000 0.500 0.869
As2 As 0.500 0.500 0.500
Rh1 Rh 0.000 0.000 0.000
Rh2 Rh 0.000 0.500 0.649
Rh3 Rh 0.500 0.500 0.000
```

Properties
Total magnetic moment: 0.0 μB/f.u.
Theoretical density: 7.146 g/cm3
Formation enthalpy at 0 K: -0.8501 eV/atom

This record from the Alexandria database describes an optimized crystal structure of CaAsRu. The functional is PBE-GGA.

Geometry as CIF:
```
data_CaAsRu
_chemical_formula_sum 'Ca4 As4 Ru4'
_symmetry_space_group_name_H-M 'F -4 3 m'
_symmetry_Int_Tables_number 216
_symmetry_space_group_name_Hall 'F -4 2 3'
_cell_length_a 6.276
_cell_length_b 6.276
_cell_length_c 6.276
_cell_angle_alpha 90.00
_cell_angle_beta 90.00
_cell_angle_gamma 90.00
loop_
_atom_site_label
_atom_site_type_symbol
_atom_site_fract_x
_atom_site_fract_y
_atom_site_fract_z
Ca1 Ca 0.000 0.000 0.000
As1 As 0.000 0.000 0.500
Ru1 Ru 0.250 0.250 0.250
```

Properties
Total magnetic moment: 0.0 μB/f.u.
Theoretical density: 5.806 g/cm3
Formation enthalpy at 0 K: -0.0871 eV/atom

This record from the Alexandria database describes an optimized crystal structure of CaAs2Ru. The functional is PBE-GGA.

Geometry as CIF:
```
data_CaAs2Ru
_chemical_formula_sum 'Ca1 As2 Ru1'
_symmetry_space_group_name_H-M 'P m m m'
_symmetry_Int_Tables_number 47
_symmetry_space_group_name_Hall '-P 2 2'
_cell_length_a 3.271
_cell_length_b 4.175
_cell_length_c 5.695
_cell_angle_alpha 90.00
_cell_angle_beta 90.00
_cell_angle_gamma 90.00
loop_
_atom_site_label
_atom_site_type_symbol
_atom_site_fract_x
_atom_site_fract_y
_atom_site_fract_z
Ca1 Ca 0.000 0.000 0.000
As1 As 0.500 0.500 0.265
Ru1 Ru 0.500 0.000 0.500
```

Properties
Total magnetic moment: 0.0 μB/f.u.
Theoretical density: 6.212 g/cm3
Polymorph energy (0 for the lowest one): 298.8 meV per atom
Formation enthalpy at 0 K: -0.3824 eV/atom

This record from the Alexandria database describes an optimized crystal structure of Ca3AsRu. The functional is PBE-GGA.

Geometry as CIF:
```
data_Ca3AsRu
_chemical_formula_sum 'Ca3 As1 Ru1'
_symmetry_space_group_name_H-M 'P m -3 m'
_symmetry_Int_Tables_number 221
_symmetry_space_group_name_Hall '-P 4 2 3'
_cell_length_a 5.233
_cell_length_b 5.233
_cell_length_c 5.233
_cell_angle_alpha 90.00
_cell_angle_beta 90.00
_cell_angle_gamma 90.00
loop_
_atom_site_label
_atom_site_type_symbol
_atom_site_fract_x
_atom_site_fract_y
_atom_site_fract_z
Ca1 Ca 0.000 0.000 0.500
As1 As 0.500 0.500 0.500
Ru1 Ru 0.000 0.000 0.000
```

Properties
Total magnetic moment: 0.0 μB/f.u.
Theoretical density: 3.433 g/cm3
Polymorph energy (0 for the lowest one): 0.0 meV per atom
Formation enthalpy at 0 K: 0.0732 eV/atom

This record from the Alexandria database describes an optimized crystal structure of CaAs2Ru. The functional is PBE-GGA.

Geometry as CIF:
```
data_CaAs2Ru
_chemical_formula_sum 'Ca1 As2 Ru1'
_symmetry_space_group_name_H-M 'P 4 m m'
_symmetry_Int_Tables_number 99
_symmetry_space_group_name_Hall 'P 4 -2'
_cell_length_a 3.126
_cell_length_b 3.126
_cell_length_c 8.366
_cell_angle_alpha 90.00
_cell_angle_beta 90.00
_cell_angle_gamma 90.00
loop_
_atom_site_label
_atom_site_type_symbol
_atom_site_fract_x
_atom_site_fract_y
_atom_site_fract_z
Ca1 Ca 0.000 0.000 0.000
As1 As 0.000 0.000 0.402
As2 As 0.500 0.500 0.732
Ru1 Ru 0.500 0.500 0.263
```

Properties
Total magnetic moment: 0.0 μB/f.u.
Theoretical density: 5.910 g/cm3
Polymorph energy (0 for the lowest one): 518.9 meV per atom
Formation enthalpy at 0 K: -0.1623 eV/atom

This record from the Alexandria database describes an optimized crystal structure of CaAs3Ru. The functional is PBE-GGA.

Geometry as CIF:
```
data_CaAs3Ru
_chemical_formula_sum 'Ca1 As3 Ru1'
_symmetry_space_group_name_H-M 'P m -3 m'
_symmetry_Int_Tables_number 221
_symmetry_space_group_name_Hall '-P 4 2 3'
_cell_length_a 4.872
_cell_length_b 4.872
_cell_length_c 4.872
_cell_angle_alpha 90.00
_cell_angle_beta 90.00
_cell_angle_gamma 90.00
loop_
_atom_site_label
_atom_site_type_symbol
_atom_site_fract_x
_atom_site_fract_y
_atom_site_fract_z
Ca1 Ca 0.000 0.000 0.000
As1 As 0.000 0.500 0.500
Ru1 Ru 0.500 0.500 0.500
```

Properties
Total magnetic moment: 0.0 μB/f.u.
Theoretical density: 5.254 g/cm3
Polymorph energy (0 for the lowest one): 0.0 meV per atom
Formation enthalpy at 0 K: -0.0219 eV/atom

This record from the Alexandria database describes an optimized crystal structure of CaAs2Ru. The functional is PBE-GGA.

Geometry as CIF:
```
data_CaAs2Ru
_chemical_formula_sum 'Ca2 As4 Ru2'
_symmetry_space_group_name_H-M 'P 4/n m m'
_symmetry_Int_Tables_number 129
_cell_length_a 4.055
_cell_length_b 4.055
_cell_length_c 10.076
_cell_angle_alpha 90.00
_cell_angle_beta 90.00
_cell_angle_gamma 90.00
loop_
_symmetry_equiv_pos_as_xyz
'x,y,z'
'-x,-y,-z'
'-y+1/2,x,z'
'y+1/2,-x,-z'
'-x+1/2,-y+1/2,z'
'x+1/2,y+1/2,-z'
'y,-x+1/2,z'
'-y,x+1/2,-z'
'x+1/2,-y,-z'
'-x+1/2,y,z'
'-y,-x,-z'
'y,x,z'
'-x,y+1/2,-z'
'x,-y+1/2,z'
'y+1/2,x+1/2,-z'
'-y+1/2,-x+1/2,z'
loop_
_atom_site_label
_atom_site_type_symbol
_atom_site_fract_x
_atom_site_fract_y
_atom_site_fract_z
Ca1 Ca 0.250 0.250 0.231
As1 As 0.250 0.250 0.637
As2 As 0.250 0.750 0.000
Ru1 Ru 0.250 0.750 0.500
```

Properties
Total magnetic moment: 0.0 μB/f.u.
Theoretical density: 5.833 g/cm3
Polymorph energy (0 for the lowest one): 0.0 meV per atom
Formation enthalpy at 0 K: -0.6812 eV/atom

This record from the Alexandria database describes an optimized crystal structure of CaAs3Ru. The functional is PBE-GGA.

Geometry as CIF:
```
data_CaAs3Ru
_chemical_formula_sum 'Ca1 As3 Ru1'
_symmetry_space_group_name_H-M 'P m -3 m'
_symmetry_Int_Tables_number 221
_symmetry_space_group_name_Hall '-P 4 2 3'
_cell_length_a 5.234
_cell_length_b 5.234
_cell_length_c 5.234
_cell_angle_alpha 90.00
_cell_angle_beta 90.00
_cell_angle_gamma 90.00
loop_
_atom_site_label
_atom_site_type_symbol
_atom_site_fract_x
_atom_site_fract_y
_atom_site_fract_z
Ca1 Ca 0.000 0.000 0.000
As1 As 0.000 0.000 0.500
Ru1 Ru 0.500 0.500 0.500
```

Properties
Total magnetic moment: 2.9 μB/f.u.
Theoretical density: 4.237 g/cm3
Polymorph energy (0 for the lowest one): 1516.0 meV per atom
Formation enthalpy at 0 K: 1.4941 eV/atom

This record from the Alexandria database describes an optimized crystal structure of CaAsRu. The functional is PBE-GGA.

Geometry as CIF:
```
data_CaAsRu
_chemical_formula_sum 'Ca2 As2 Ru2'
_symmetry_space_group_name_H-M 'I 4 m m'
_symmetry_Int_Tables_number 107
_symmetry_space_group_name_Hall 'I 4 -2'
_cell_length_a 3.243
_cell_length_b 3.243
_cell_length_c 10.888
_cell_angle_alpha 90.00
_cell_angle_beta 90.00
_cell_angle_gamma 90.00
loop_
_atom_site_label
_atom_site_type_symbol
_atom_site_fract_x
_atom_site_fract_y
_atom_site_fract_z
Ca1 Ca 0.000 0.000 0.000
As1 As 0.000 0.000 0.298
Ru1 Ru 0.000 0.000 0.700
```

Properties
Total magnetic moment: 0.0 μB/f.u.
Theoretical density: 6.267 g/cm3
Formation enthalpy at 0 K: -0.4396 eV/atom

This record from the Alexandria database describes an optimized crystal structure of CaAs2Ru. The functional is PBE-GGA.

Geometry as CIF:
```
data_CaAs2Ru
_chemical_formula_sum 'Ca2 As4 Ru2'
_symmetry_space_group_name_H-M 'C 1 m 1'
_symmetry_Int_Tables_number 8
_symmetry_space_group_name_Hall 'C -2y'
_cell_length_a 9.427
_cell_length_b 3.454
_cell_length_c 5.181
_cell_angle_alpha 90.00
_cell_angle_beta 106.73
_cell_angle_gamma 90.00
loop_
_atom_site_label
_atom_site_type_symbol
_atom_site_fract_x
_atom_site_fract_y
_atom_site_fract_z
Ca1 Ca 0.000 0.000 0.000
As1 As 0.224 0.000 0.689
As2 As 0.480 0.000 0.485
Ru1 Ru 0.265 0.500 0.383
```

Properties
Total magnetic moment: 0.0 μB/f.u.
Theoretical density: 5.982 g/cm3
Polymorph energy (0 for the lowest one): 379.2 meV per atom
Formation enthalpy at 0 K: -0.3020 eV/atom